## i
The following is a DFT calculation (GGA-PBE) of a relaxed structure of NaV2Fe.

Cell lengths 8.7349, 8.7349, 8.7349 Å; angles 150.39, 150.39, 42.38 degrees
With the nearest neighbours (Å) after each atom.
Atoms (fractional coordinates):
Na 0.3750 0.6250 0.7500  4 Fe 3.16, 8 V 3.22
Na 0.6250 0.3750 0.2500  4 Fe 3.16, 8 V 3.22
V 0.0000 0.0000 0.0000  2 V 2.23, 2 Fe 2.32
V 0.0000 0.0000 0.5000  2 V 2.23, 2 Fe 2.32
V 0.0000 0.5000 0.0000  2 V 2.23, 2 Fe 2.32
V 0.5000 0.0000 0.5000  2 V 2.23, 2 Fe 2.32
Fe 0.1250 0.8750 0.2500  4 V 2.32
Fe 0.8750 0.1250 0.7500  4 V 2.32

Output
- Theoretical density: 3.7 Mg/m³

***

## ii
The following is a DFT calculation (GGA-PBE) of a relaxed structure of NaV2Fe.

Cell lengths 4.2797, 4.2797, 4.2797 Å; angles 60.00, 60.00, 60.00 degrees
With the nearest neighbours (Å) after each atom.
Atoms (fractional coordinates):
Na 0.0000 0.0000 0.0000  8 V 2.62
V 0.2500 0.2500 0.2500  4 Fe 2.62, 4 Na 2.62
V 0.7500 0.7500 0.7500  4 Fe 2.62, 4 Na 2.62
Fe 0.5000 0.5000 0.5000  8 V 2.62

Output
- Theoretical density: 5.4 Mg/m³

***

Relative energy of each structure, in kJ/mol of atoms: i 50.9; ii 0.0.